No. 1
Below is a relaxed structure of SrZnMoRu2, with properties calculated at the PBE-GGA level.

Cell lengths 4.6663, 4.6663, 4.9489 Å; angles 90.00, 90.00, 90.00 degrees
Last column: nearest neighbours and their distance in Å.
Positions (direct):
Sr: 0.0000 0.0000 0.0000  4 Ru 2.33, 2 Zn 2.47
Zn: 0.0000 0.0000 0.5000  2 Sr 2.47
Mo: 0.5000 0.5000 0.5000  4 Zn 3.30, 8 Ru 3.40
Ru: 0.0000 0.5000 0.0000  2 Sr 2.33
Ru: 0.5000 0.0000 0.0000  2 Sr 2.33

Computed properties:
The value obtained for the energy of formation is 2.62 eV/atom.

=====

No. 2
Below is a relaxed structure of Pt4AuSe8, with properties calculated at the PBE-GGA level.

Cell lengths 7.6004, 7.6004, 7.6004 Å; angles 60.00, 60.00, 60.00 degrees
Last column: nearest neighbours and their distance in Å.
Positions (direct):
Pt: 0.1226 0.1226 0.1226  6 Se 2.53-2.56
Pt: 0.1226 0.1226 0.6322  6 Se 2.53-2.56
Pt: 0.1226 0.6322 0.1226  6 Se 2.53-2.56
Pt: 0.6322 0.1226 0.1226  6 Se 2.53-2.56
Au: 0.5000 0.5000 0.5000  4 Se 2.61
Se: 0.3366 0.8878 0.8878  3 Pt 2.53
Se: 0.3599 0.3599 0.3599  3 Pt 2.56, 1 Au 2.61
Se: 0.3599 0.3599 0.9203  3 Pt 2.56, 1 Au 2.61
Se: 0.3599 0.9203 0.3599  3 Pt 2.56, 1 Au 2.61
Se: 0.8878 0.3366 0.8878  3 Pt 2.53
Se: 0.8878 0.8878 0.3366  3 Pt 2.53
Se: 0.8878 0.8878 0.8878  3 Pt 2.53
Se: 0.9203 0.3599 0.3599  3 Pt 2.56, 1 Au 2.61

Computed properties:
The value obtained for the uncorrected formation energy is -0.327 eV per atom.

=====

No. 3
Below is a relaxed structure of Rb2SbSBr6, with properties calculated at the PBE-GGA level.

Cell lengths 7.8727, 7.8727, 7.8727 Å; angles 118.51, 118.51, 92.60 degrees
Last column: nearest neighbours and their distance in Å.
Positions (direct):
Rb: 0.2500 0.7500 0.5000  12 Br 3.94-4.03
Rb: 0.7500 0.2500 0.5000  12 Br 3.94-4.03
Sb: 0.0000 0.0000 0.0000  6 Br 2.76-2.78
S: 0.5000 0.5000 0.0000  6 Br 2.66-2.93
Br: 0.2426 0.2426 0.4852  1 Sb 2.76, 1 S 2.93
Br: 0.2426 0.7574 0.0000  1 Sb 2.76, 1 S 2.93
Br: 0.2557 0.2557 0.0000  1 S 2.66, 1 Sb 2.78
Br: 0.7443 0.7443 0.0000  1 S 2.66, 1 Sb 2.78
Br: 0.7574 0.2426 0.0000  1 Sb 2.76, 1 S 2.93
Br: 0.7574 0.7574 0.5148  1 Sb 2.76, 1 S 2.93

Computed properties:
The value obtained for the uncorrected formation energy is -0.793 eV per atom.

=====

No. 4
Below is a relaxed structure of NaNbCu3, with properties calculated at the PBE-GGA level.

Cell lengths 4.8902, 4.8902, 4.8902 Å; angles 90.00, 90.00, 90.00 degrees
Last column: nearest neighbours and their distance in Å.
Positions (direct):
Na: 0.0000 0.0000 0.0000  12 Cu 3.46
Nb: 0.5000 0.5000 0.5000  6 Cu 2.45
Cu: 0.0000 0.5000 0.5000  2 Nb 2.45
Cu: 0.5000 0.0000 0.5000  2 Nb 2.45
Cu: 0.5000 0.5000 0.0000  2 Nb 2.45

Computed properties:
The distance to the lowest polymorph of the same formula is 0.0000 eV/atom. The value obtained for the energy of formation is 1.07 eV/atom.

=====

No. 5
Below is a relaxed structure of BrCl3, with properties calculated at the PBE-GGA level.

Cell lengths 5.0467, 5.0467, 5.0467 Å; angles 60.00, 60.00, 60.00 degrees
Last column: nearest neighbours and their distance in Å.
Positions (direct):
Br: 0.0000 0.0000 0.0000  8 Cl 3.09
Cl: 0.2500 0.2500 0.2500  4 Cl 3.09, 4 Br 3.09
Cl: 0.5000 0.5000 0.5000  8 Cl 3.09
Cl: 0.7500 0.7500 0.7500  4 Cl 3.09, 4 Br 3.09

Computed properties:
The value obtained for the uncorrected formation energy is 0.790 eV per atom.

=====

No. 6
Below is a relaxed structure of KHoCuTe3, with properties calculated at the PBE-GGA level.

Cell lengths 8.7649, 8.7649, 9.0794 Å; angles 99.44, 99.44, 34.76 degrees
Last column: nearest neighbours and their distance in Å.
Positions (direct):
K: 0.1507 0.1507 0.0390  7 Te 3.49-3.81
K: 0.8493 0.8493 0.9610  7 Te 3.49-3.81
Ho: 0.1424 0.1424 0.5371  7 Te 3.04-3.39
Ho: 0.8576 0.8576 0.4629  7 Te 3.04-3.39
Cu: 0.4796 0.4796 0.6859  4 Te 2.60-2.65
Cu: 0.5204 0.5204 0.3141  4 Te 2.60-2.65
Te: 0.0002 0.0002 0.2790  2 Cu 2.65
Te: 0.9998 0.9998 0.7210  2 Cu 2.65
Te: 0.3225 0.3225 0.6812  1 Cu 2.62
Te: 0.3624 0.3624 0.2688  1 Cu 2.60
Te: 0.6376 0.6376 0.7312  1 Cu 2.60
Te: 0.6775 0.6775 0.3188  1 Cu 2.62

Computed properties:
The value obtained for the uncorrected formation energy is -0.786 eV per atom.

=====

No. 7
Below is a relaxed structure of PmHo5Pb6, with properties calculated at the PBE-GGA level.

Cell lengths 8.2510, 8.2510, 7.7717 Å; angles 95.05, 95.05, 136.44 degrees
Last column: nearest neighbours and their distance in Å.
Positions (direct):
Pm: 0.0000 0.0000 0.0000  6 Pb 3.25-3.27
Ho: 0.0000 0.0000 0.5000  6 Pb 3.18-3.21
Ho: 0.3304 0.6696 0.0000  6 Pb 3.18-3.22
Ho: 0.3381 0.6619 0.5000  6 Pb 3.19-3.21
Ho: 0.6619 0.3381 0.5000  6 Pb 3.19-3.21
Ho: 0.6696 0.3304 0.0000  6 Pb 3.18-3.22
Pb: 0.1673 0.8290 0.2567  5 Ho 3.18-3.22, 1 Pm 3.27
Pb: 0.1710 0.8327 0.7433  5 Ho 3.18-3.22, 1 Pm 3.27
Pb: 0.4899 0.4899 0.7549  5 Ho 3.18-3.21, 1 Pm 3.25
Pb: 0.5101 0.5101 0.2451  5 Ho 3.18-3.21, 1 Pm 3.25
Pb: 0.8290 0.1673 0.2567  5 Ho 3.18-3.22, 1 Pm 3.27
Pb: 0.8327 0.1710 0.7433  5 Ho 3.18-3.22, 1 Pm 3.27

Computed properties:
The value obtained for the energy of formation is -0.43 eV/atom.

=====

No. 8
Below is a relaxed structure of LaMn4Fe, with properties calculated at the PBE-GGA level.

Cell lengths 5.0510, 5.0510, 5.0510 Å; angles 60.00, 60.00, 60.00 degrees
Last column: nearest neighbours and their distance in Å.
Positions (direct):
La: 0.0000 0.0000 0.0000  12 Mn 2.97, 4 Fe 3.09
Mn: 0.1303 0.6232 0.6232  6 Mn 2.49-2.56
Mn: 0.6232 0.1303 0.6232  6 Mn 2.49-2.56
Mn: 0.6232 0.6232 0.1303  6 Mn 2.49-2.56
Mn: 0.6232 0.6232 0.6232  6 Mn 2.49-2.56
Fe: 0.2500 0.2500 0.2500  12 Mn 2.96, 4 La 3.09

Computed properties:
The value obtained for the energy of formation is 0.43 eV/atom.

=====

No. 9
Below is a relaxed structure of NaSmTlGe, with properties calculated at the PBE-GGA level.

Cell lengths 5.2390, 5.2390, 5.2390 Å; angles 60.00, 60.00, 60.00 degrees
Last column: nearest neighbours and their distance in Å.
Positions (direct):
Na: 0.0000 0.0000 0.0000  4 Ge 3.21, 4 Tl 3.21
Sm: 0.5000 0.5000 0.5000  4 Tl 3.21, 4 Ge 3.21
Tl: 0.2500 0.2500 0.2500  4 Sm 3.21, 4 Na 3.21
Ge: 0.7500 0.7500 0.7500  4 Sm 3.21, 4 Na 3.21

Computed properties:
The value obtained for the energy of formation is -0.25 eV/atom.

=====

No. 10
Below is a relaxed structure of TbTh5N6, with properties calculated at the PBE-GGA level.

Cell lengths 6.2952, 6.2952, 6.3002 Å; angles 99.57, 99.57, 120.00 degrees
Last column: nearest neighbours and their distance in Å.
Positions (direct):
Tb: 0.0000 0.0000 0.0000  6 N 2.54-2.55
Th: 0.1658 0.8342 0.5000  6 N 2.56-2.61
Th: 0.3334 0.6666 0.0000  6 N 2.57
Th: 0.5000 0.5000 0.5000  6 N 2.58-2.59
Th: 0.6666 0.3334 0.0000  6 N 2.57
Th: 0.8342 0.1658 0.5000  6 N 2.56-2.61
N: 0.0821 0.4125 0.2464  1 Tb 2.54, 5 Th 2.57-2.61
N: 0.2472 0.2472 0.7516  1 Tb 2.55, 5 Th 2.56-2.59
N: 0.4125 0.0821 0.2464  1 Tb 2.54, 5 Th 2.57-2.61
N: 0.5875 0.9179 0.7536  1 Tb 2.54, 5 Th 2.57-2.61
N: 0.7528 0.7528 0.2484  1 Tb 2.55, 5 Th 2.56-2.59
N: 0.9179 0.5875 0.7536  1 Tb 2.54, 5 Th 2.57-2.61

Computed properties:
The value obtained for the uncorrected formation energy is -1.576 eV per atom.

=====

No. 11
Below is a relaxed structure of Np2TcIr, with properties calculated at the PBE-GGA level.

Cell lengths 10.1820, 10.1820, 10.1820 Å; angles 16.19, 16.19, 16.19 degrees
Last column: nearest neighbours and their distance in Å.
Positions (direct):
Np: 0.0830 0.0830 0.0830  1 Tc 2.50
Np: 0.9170 0.9170 0.9170  1 Tc 2.50
Tc: 0.0000 0.0000 0.0000  2 Np 2.50
Ir: 0.5000 0.5000 0.5000  6 Ir 2.87, 6 Np 3.02

Computed properties:
The distance to the lowest polymorph of the same formula is 0.3651 eV/atom. The value obtained for the energy of formation is 0.33 eV/atom.

=====

No. 12
Below is a relaxed structure of Zr2Sc2Cu, with properties calculated at the PBE-GGA level.

Cell lengths 6.8496, 6.8496, 4.8120 Å; angles 90.00, 90.00, 90.00 degrees
Last column: nearest neighbours and their distance in Å.
Positions (direct):
Zr: 0.1417 0.3583 0.0000  2 Cu 2.64, 1 Zr 2.74
Zr: 0.3583 0.8583 0.0000  2 Cu 2.64, 1 Zr 2.74
Zr: 0.6417 0.1417 0.0000  2 Cu 2.64, 1 Zr 2.74
Zr: 0.8583 0.6417 0.0000  2 Cu 2.64, 1 Zr 2.74
Sc: 0.1612 0.6612 0.5000  6 Zr 3.07-3.18, 1 Sc 3.12
Sc: 0.3388 0.1612 0.5000  6 Zr 3.07-3.18, 1 Sc 3.12
Sc: 0.6612 0.8388 0.5000  6 Zr 3.07-3.18, 1 Sc 3.12
Sc: 0.8388 0.3388 0.5000  6 Zr 3.07-3.18, 1 Sc 3.12
Cu: 0.0000 0.0000 0.0000  4 Zr 2.64
Cu: 0.5000 0.5000 0.0000  4 Zr 2.64

Computed properties:
The distance to the lowest polymorph of the same formula is 0.0109 eV/atom. The value obtained for the energy of formation is 0.20 eV/atom.

=====

No. 13
Below is a relaxed structure of Zr2GeRh2, with properties calculated at the PBE-GGA level.

Cell lengths 7.8597, 7.8597, 7.8597 Å; angles 153.28, 153.28, 38.15 degrees
Last column: nearest neighbours and their distance in Å.
Positions (direct):
Zr: 0.1114 0.1114 0.0000  4 Rh 2.75, 4 Ge 3.06
Zr: 0.8886 0.8886 0.0000  4 Rh 2.75, 4 Ge 3.06
Ge: 0.5000 0.5000 0.0000  8 Zr 3.06
Rh: 0.2500 0.7500 0.5000  4 Rh 2.57, 4 Zr 2.75
Rh: 0.7500 0.2500 0.5000  4 Rh 2.57, 4 Zr 2.75

Computed properties:
The value obtained for the energy of formation is -0.29 eV/atom.

=====

no.,mass density (g/cm3),uncorrected energy (eV per atom),volume (Å³/f.u.)
1,7.0,-3.85,107.8
2,8.6,-4.58,310.4
3,3.8,-2.82,352.4
4,4.4,-3.66,116.9
5,3.4,-1.01,90.9
6,5.5,-3.99,195.9
7,10.4,-4.59,354.2
8,7.6,-7.92,91.1
9,7.4,-3.50,101.7
10,11.4,-9.22,203.9
11,17.7,-10.95,71.6
12,4.9,-6.57,112.9
13,7.8,-7.57,98.0